1.
! Dy9Y2Er3 (GGA-PBE, optimized geometry); values from VASP
! calculated volume: 31.85 A^3/atom
! calculated formation energy: 0.111 eV per atom
&SYSTEM
  ibrav = 0, nat = 14, ntyp = 3
/
ATOMIC_SPECIES
Dy 162.50 Dy.upf
Y 88.91 Y.upf
Er 167.26 Er.upf
ATOMIC_POSITIONS angstrom
Dy 0.000 0.000 0.000
Dy 2.794 3.650 -3.293
Dy 2.794 -1.713 5.911
Dy 0.000 1.704 4.159
Dy 0.000 3.641 1.541
Dy 2.794 1.713 5.911
Dy 2.794 3.650 3.293
Dy 0.000 7.067 1.541
Dy 0.000 1.704 10.744
Y 2.794 0.000 2.695
Y 0.000 5.354 4.756
Er 2.794 2.170 0.000
Er 0.000 0.000 7.452
Er 0.000 3.184 7.452
CELL_PARAMETERS angstrom
-2.794 5.354 7.452
2.794 -5.354 7.452
2.794 5.354 -7.452



2.
! Dy7YEr5 (GGA-PBE, optimized geometry); values from VASP
! calculated volume: 32.55 A^3/atom
! calculated formation energy: 0.252 eV per atom
&SYSTEM
  ibrav = 0, nat = 13, ntyp = 3
/
ATOMIC_SPECIES
Dy 162.50 Dy.upf
Y 88.91 Y.upf
Er 167.26 Er.upf
ATOMIC_POSITIONS angstrom
Dy 0.000 0.000 0.000
Dy 3.313 -1.886 2.782
Dy 0.000 0.000 3.487
Dy 3.313 1.886 2.782
Dy 3.313 0.000 5.679
Dy 0.000 3.632 2.796
Dy 0.000 7.528 2.796
Y 0.000 0.000 7.894
Er 1.763 3.028 -0.058
Er 1.550 -2.552 5.665
Er 1.763 8.132 -0.058
Er 1.550 2.552 5.665
Er 0.000 5.580 5.603
CELL_PARAMETERS angstrom
-3.313 5.580 5.722
3.313 -5.580 5.722
3.313 5.580 -5.722



3.
! Dy8YEr2 (GGA-PBE, optimized geometry); values from VASP
! calculated volume: 32.09 A^3/atom
! calculated formation energy: 0.152 eV per atom
&SYSTEM
  ibrav = 0, nat = 11, ntyp = 3
/
ATOMIC_SPECIES
Dy 162.50 Dy.upf
Y 88.91 Y.upf
Er 167.26 Er.upf
ATOMIC_POSITIONS angstrom
Dy -0.455 2.046 3.299
Dy 4.526 4.886 0.000
Dy -0.455 -2.046 3.299
Dy 3.289 0.000 1.007
Dy 2.245 0.000 3.719
Dy 5.990 2.046 1.428
Dy 4.526 -4.886 0.000
Dy 5.990 -2.046 1.428
Y 0.000 0.000 0.000
Er 2.767 3.122 2.363
Er 2.767 -3.122 2.363
CELL_PARAMETERS angstrom
4.526 -8.252 0.000
4.526 8.252 0.000
-3.517 0.000 4.726



4.
! Dy12YEr6 (GGA-PBE, optimized geometry); values from VASP
! calculated volume: 34.15 A^3/atom
! calculated formation energy: 0.445 eV per atom
&SYSTEM
  ibrav = 0, nat = 19, ntyp = 3
/
ATOMIC_SPECIES
Dy 162.50 Dy.upf
Y 88.91 Y.upf
Er 167.26 Er.upf
ATOMIC_POSITIONS angstrom
Dy -2.919 -3.606 3.328
Dy -4.583 -0.725 3.328
Dy 0.000 -1.887 2.103
Dy -1.634 0.943 2.103
Dy 1.634 0.943 2.103
Dy 2.919 -3.606 3.328
Dy -1.664 4.331 3.328
Dy 4.583 -0.725 3.328
Dy 1.664 4.331 3.328
Dy -1.634 -0.943 7.880
Dy 1.634 -0.943 7.880
Dy 0.000 1.887 7.880
Y 0.000 0.000 4.992
Er 0.000 -5.036 3.779
Er -4.361 2.518 3.779
Er -4.361 -2.518 6.204
Er 4.361 2.518 3.779
Er 4.361 -2.518 6.204
Er 0.000 5.036 6.204
CELL_PARAMETERS angstrom
7.502 4.331 3.328
-7.502 4.331 3.328
0.000 -8.663 3.328